P) An optimized crystal structure of Tb2NdLu. Source: Alexandria via LeMat-Bulk, functional PBE-GGA.

a = 8.036 Å, b = 8.036 Å, c = 8.036 Å
α = 90.00°, β = 90.00°, γ = 90.00°
Space group Fm-3m (No. 225)
Inequivalent atoms, fractional coordinates:
Tb1 0.250 0.250 0.250 [8 per cell]
Nd1 0.000 0.000 0.000 [4 per cell]
Lu1 0.000 0.000 0.500 [4 per cell]

Computed properties:
Magnetic moment (μB/atom): 0.02

---

Q) An optimized crystal structure of Tb2NdLu. Source: Alexandria via LeMat-Bulk, functional PBE-GGA.

a = 3.5674 Å, b = 3.5674 Å, c = 34.8542 Å
α = 90.00°, β = 90.00°, γ = 120.00°
Space group R-3m (No. 166, hexagonal axes)
Inequivalent atoms, fractional coordinates:
Tb1 0.0000 0.0000 0.2479 [6 per cell]
Nd1 0.0000 0.0000 0.0000 [3 per cell]
Lu1 0.0000 0.0000 0.5000 [3 per cell]

Computed properties:
Magnetic moment (μB/atom): 0.00

---

Winner for stability: Q)

---

P) An optimized crystal structure of TbNdLu. Source: Alexandria via LeMat-Bulk, functional PBE-GGA.

a = 3.572 Å, b = 3.572 Å, c = 15.124 Å
α = 90.00°, β = 90.00°, γ = 90.00°
Space group I4mm (No. 107)
Inequivalent atoms, fractional coordinates:
Tb1 0.000 0.000 0.000 [2 per cell]
Nd1 0.000 0.000 0.329 [2 per cell]
Lu1 0.000 0.000 0.662 [2 per cell]

Computed properties:
Magnetic moment (μB/atom): 0.00

---

Q) An optimized crystal structure of TbNdLu. Source: Alexandria via LeMat-Bulk, functional PBE-GGA.

a = 5.6558 Å, b = 5.6558 Å, c = 3.4694 Å
α = 90.00°, β = 90.00°, γ = 120.00°
Space group P3m1 (No. 156)
Inequivalent atoms, fractional coordinates:
Tb1 0.0000 0.0000 0.0000 [1 per cell]
Nd1 0.3333 0.6667 0.5014 [1 per cell]
Lu1 0.6667 0.3333 0.0032 [1 per cell]

Computed properties:
Magnetic moment (μB/atom): 0.00

---

Winner for stability: P)

---

P) An optimized crystal structure of NdLuTe2. Source: Alexandria via LeMat-Bulk, functional PBE-GGA.

a = 7.624 Å, b = 7.624 Å, c = 7.624 Å
α = 90.00°, β = 90.00°, γ = 90.00°
Space group Fm-3m (No. 225)
Inequivalent atoms, fractional coordinates:
Nd1 0.000 0.000 0.000 [4 per cell]
Lu1 0.000 0.000 0.500 [4 per cell]
Te1 0.250 0.250 0.250 [8 per cell]

Computed properties:
Magnetic moment (μB/atom): 0.31

---

Q) An optimized crystal structure of NdLuTe2. Source: Alexandria via LeMat-Bulk, functional PBE-GGA.

a = 5.372 Å, b = 5.372 Å, c = 3.819 Å
α = 90.00°, β = 90.00°, γ = 90.00°
Space group P4/mmm (No. 123)
Inequivalent atoms, fractional coordinates:
Nd1 0.000 0.000 0.000 [1 per cell]
Lu1 0.500 0.500 0.000 [1 per cell]
Te1 0.000 0.500 0.500 [2 per cell]

Computed properties:
Magnetic moment (μB/atom): 0.09

---

Winner for stability: Q)

---

P) An optimized crystal structure of Nd2LuTh. Source: Alexandria via LeMat-Bulk, functional PBE-GGA.

a = 3.603 Å, b = 3.603 Å, c = 10.203 Å
α = 90.00°, β = 90.00°, γ = 90.00°
Space group P4/mmm (No. 123)
Inequivalent atoms, fractional coordinates:
Nd1 0.000 0.000 0.247 [2 per cell]
Lu1 0.500 0.500 0.500 [1 per cell]
Th1 0.500 0.500 0.000 [1 per cell]

Computed properties:
Magnetic moment (μB/atom): 0.00

---

Q) An optimized crystal structure of Nd2LuTh. Source: Alexandria via LeMat-Bulk, functional PBE-GGA.

a = 8.097 Å, b = 8.097 Å, c = 8.097 Å
α = 90.00°, β = 90.00°, γ = 90.00°
Space group Fm-3m (No. 225)
Inequivalent atoms, fractional coordinates:
Nd1 0.250 0.250 0.250 [8 per cell]
Lu1 0.000 0.000 0.000 [4 per cell]
Th1 0.000 0.000 0.500 [4 per cell]

Computed properties:
Magnetic moment (μB/atom): 0.03

---

R) An optimized crystal structure of Nd2LuTh. Source: Alexandria via LeMat-Bulk, functional PBE-GGA.

a = 3.6067 Å, b = 3.6067 Å, c = 35.1662 Å
α = 90.00°, β = 90.00°, γ = 120.00°
Space group R-3m (No. 166, hexagonal axes)
Inequivalent atoms, fractional coordinates:
Nd1 0.0000 0.0000 0.2505 [6 per cell]
Lu1 0.0000 0.0000 0.5000 [3 per cell]
Th1 0.0000 0.0000 0.0000 [3 per cell]

Computed properties:
Magnetic moment (μB/atom): 0.00

---

Winner for stability: R)

---

P) An optimized crystal structure of NdLu2Th. Source: Alexandria via LeMat-Bulk, functional PBE-GGA.

a = 3.576 Å, b = 3.576 Å, c = 9.842 Å
α = 90.00°, β = 90.00°, γ = 90.00°
Space group P4/mmm (No. 123)
Inequivalent atoms, fractional coordinates:
Nd1 0.000 0.000 0.000 [1 per cell]
Lu1 0.500 0.500 0.258 [2 per cell]
Th1 0.000 0.000 0.500 [1 per cell]

Computed properties:
Magnetic moment (μB/atom): 0.00

---

Q) An optimized crystal structure of NdLu2Th. Source: Alexandria via LeMat-Bulk, functional PBE-GGA.

a = 5.072 Å, b = 5.072 Å, c = 4.872 Å
α = 90.00°, β = 90.00°, γ = 90.00°
Space group P4/mmm (No. 123)
Inequivalent atoms, fractional coordinates:
Nd1 0.000 0.000 0.000 [1 per cell]
Lu1 0.000 0.500 0.500 [2 per cell]
Th1 0.500 0.500 0.000 [1 per cell]

Computed properties:
Magnetic moment (μB/atom): 0.00

---

Winner for stability: P)

---

P) An optimized crystal structure of NdLuTh2. Source: Alexandria via LeMat-Bulk, functional PBE-GGA.

a = 5.014 Å, b = 5.014 Å, c = 5.129 Å
α = 90.00°, β = 90.00°, γ = 90.00°
Space group P4/mmm (No. 123)
Inequivalent atoms, fractional coordinates:
Nd1 0.000 0.000 0.000 [1 per cell]
Lu1 0.500 0.500 0.000 [1 per cell]
Th1 0.000 0.500 0.500 [2 per cell]

Computed properties:
Magnetic moment (μB/atom): 0.00

---

Q) An optimized crystal structure of NdLuTh2. Source: Alexandria via LeMat-Bulk, functional PBE-GGA.

a = 8.020 Å, b = 8.020 Å, c = 8.020 Å
α = 90.00°, β = 90.00°, γ = 90.00°
Space group Fm-3m (No. 225)
Inequivalent atoms, fractional coordinates:
Nd1 0.000 0.000 0.000 [4 per cell]
Lu1 0.000 0.000 0.500 [4 per cell]
Th1 0.250 0.250 0.250 [8 per cell]

Computed properties:
Magnetic moment (μB/atom): 0.00

---

R) An optimized crystal structure of NdLuTh2. Source: Alexandria via LeMat-Bulk, functional PBE-GGA.

a = 3.558 Å, b = 3.558 Å, c = 10.201 Å
α = 90.00°, β = 90.00°, γ = 90.00°
Space group P4/mmm (No. 123)
Inequivalent atoms, fractional coordinates:
Nd1 0.000 0.000 0.000 [1 per cell]
Lu1 0.000 0.000 0.500 [1 per cell]
Th1 0.500 0.500 0.258 [2 per cell]

Computed properties:
Magnetic moment (μB/atom): 0.00

---

Winner for stability: P)